Entry 1:
NiHSCl2: optimized geometry, PBE-GGA.

The structure in POSCAR format:
```
NiHSCl2
1.0
4.958 0.000 0.000
0.000 4.958 0.000
0.000 0.000 3.190
Ni H S Cl
1 1 1 2
direct
0.000 0.000 0.000 Ni
0.500 0.500 0.500 H
0.500 0.500 0.000 S
0.000 0.500 0.500 Cl
0.500 0.000 0.500 Cl
```

***

Entry 2:
NiHSCl2: optimized geometry, PBE-GGA.

The structure in POSCAR format:
```
NiHSCl2
1.0
4.790 0.000 0.000
0.000 4.790 0.000
0.000 0.000 4.259
Ni H S Cl
1 1 1 2
direct
0.000 0.000 0.000 Ni
0.500 0.500 0.500 H
0.000 0.000 0.500 S
0.000 0.500 0.000 Cl
0.500 0.000 0.000 Cl
```

***

Entry 3:
NiHS2Cl: optimized geometry, PBE-GGA.

The structure in POSCAR format:
```
NiHS2Cl
1.0
3.526 0.000 0.000
0.000 3.526 0.000
0.000 0.000 7.046
Ni H S Cl
1 1 2 1
direct
0.000 0.000 0.000 Ni
0.500 0.500 0.500 H
0.000 0.500 0.500 S
0.500 0.000 0.500 S
0.500 0.500 0.000 Cl
```

***

Entry 4:
NiHS2Cl: optimized geometry, PBE-GGA.

The structure in POSCAR format:
```
NiHS2Cl
1.0
4.404 0.000 0.000
0.000 4.404 0.000
0.000 0.000 4.943
Ni H S Cl
1 1 2 1
direct
0.000 0.000 0.000 Ni
0.500 0.500 0.500 H
0.000 0.500 0.000 S
0.500 0.000 0.000 S
0.000 0.000 0.500 Cl
```

***

Number 1: DOS(E_F) 6.6 states/eV/cell, E above lowest polymorph 181 meV per atom. Number 2: DOS(E_F) 4.6 states/eV/cell, E above lowest polymorph 0 meV per atom. Number 3: DOS(E_F) 6.0 states/eV/cell, E above lowest polymorph 0 meV per atom. Number 4: DOS(E_F) 3.3 states/eV/cell, E above lowest polymorph 175 meV per atom.